Computed, not measured: a geometry-optimized ZnMoOs structure at the PBE level of DFT.

Cell and atoms, written as POSCAR:
```
ZnMoOs
1.0
2.777 0.000 0.000
0.000 2.777 0.000
0.000 0.000 11.541
Zn Mo Os
2 2 2
direct
0.250 0.250 0.080
0.750 0.750 0.920
0.250 0.250 0.749
0.750 0.750 0.251
0.250 0.250 0.419
0.750 0.750 0.581
```

Properties
The calculation puts the formation enthalpy at 0 K at 0.107 eV per atom. The value obtained for the energy above the most stable polymorph in this dataset is 0.029 eV per atom. The total energy comes out at -7.67 eV per atom. The space-group type is No. 129.